Record 1
! LiAgAsSe3 | Alexandria | PBE | optimized geometry; values from VASP
&SYSTEM
  ibrav = 0, nat = 12, ntyp = 4
/
ATOMIC_SPECIES
Li 6.94 Li.upf
Ag 107.87 Ag.upf
As 74.92 As.upf
Se 78.96 Se.upf
CELL_PARAMETERS angstrom
3.7445 0.0000 0.0000
0.0000 10.3163 0.5853
0.0000 -1.7912 6.7319
ATOMIC_POSITIONS angstrom
Li 0.9361 2.8965 2.6828
Li 2.8084 5.6286 4.6343
Ag 0.9361 -0.7201 4.4430
Ag 2.8084 9.2452 2.8742
As 0.9361 6.6371 1.0873
As 2.8084 1.8880 6.2298
Se 2.8084 6.5478 7.1439
Se 0.9361 1.9773 0.1733
Se 0.9361 7.2911 3.7412
Se 2.8084 1.2340 3.5760
Se 2.8084 4.7626 1.8909
Se 0.9361 3.7625 5.4263
! Energy relative to the elements, uncorrected: -0.302 eV/atom
! V: 22.00 A^3/atom
! Total magnetization: 0.00 μB per cell
! DOS(E_F): 7.43 states/eV/cell
! Symmetry: P2_1/m, No. 11

Record 2
! Li2AgAsSe4 | Alexandria | PBE | optimized geometry; values from VASP
&SYSTEM
  ibrav = 0, nat = 8, ntyp = 4
/
ATOMIC_SPECIES
Li 6.94 Li.upf
Ag 107.87 Ag.upf
As 74.92 As.upf
Se 78.96 Se.upf
CELL_PARAMETERS angstrom
5.9891 0.0005 -0.0040
-0.0009 5.9877 -0.0034
-2.9915 -2.9916 5.6970
ATOMIC_POSITIONS angstrom
Li 0.0018 2.9952 5.5296
Li 0.0009 0.0008 2.6855
Ag 2.9968 0.0033 5.5320
As 2.9956 2.9955 2.6823
Se 1.5807 1.6634 4.0546
Se 4.3271 1.5791 1.3108
Se 1.6626 4.4107 1.3112
Se -1.5768 -1.6594 4.0597
! Energy relative to the elements, uncorrected: -0.497 eV/atom
! V: 25.52 A^3/atom
! Total magnetization: 0.00 μB per cell
! Symmetry: I-4, No. 82

Record 3
! LiSi2AgAs | Alexandria | PBE | optimized geometry; values from VASP
&SYSTEM
  ibrav = 0, nat = 5, ntyp = 4
/
ATOMIC_SPECIES
As 74.92 As.upf
Si 28.09 Si.upf
Ag 107.87 Ag.upf
Li 6.94 Li.upf
CELL_PARAMETERS angstrom
-2.6414 2.9591 2.7783
-0.4657 -3.3171 3.0902
4.0287 1.5072 2.2250
ATOMIC_POSITIONS angstrom
As 0.0000 0.0000 0.0000
Si 2.0143 0.7536 1.1125
Si -1.3207 1.4795 1.3891
Ag 0.4608 0.5746 4.0467
Li -0.2329 -1.6585 1.5451
! Energy relative to the elements, uncorrected: 0.627 eV/atom
! V: 21.38 A^3/atom
! Total magnetization: 0.00 μB per cell
! DOS(E_F): 3.06 states/eV/cell
! Symmetry: P4/mmm, No. 123